Here is crystalline YSbRh2 at its relaxed geometry from Alexandria. Energies are from GGA-PBEsol.

Cell lengths 3.5521, 4.4093, 5.1332 Å; angles 103.97, 110.24, 90.00 degrees
Closest atoms and distances in Å follow each position.
Atoms (fractional coordinates):
Rh 0.2346 0.6797 0.4691  3 Sb 2.76-2.79, 4 Y 2.80-2.86, 2 Rh 3.04-3.05
Sb 0.5079 0.5715 0.0157  7 Rh 2.76-2.90
Rh 0.0089 0.0523 0.0178  3 Y 2.74-2.85, 4 Sb 2.76-2.90, 2 Rh 3.04-3.05
Y 0.7487 0.1965 0.4974  7 Rh 2.74-2.86

Results
Total magnetization   0.0001 μB per atom
Raw formation energy   -63.18 kJ/mol of atoms
E   -7.5689 eV/atom